Zr6Zn23Ge (PBE, optimized geometry); Fermi-level density of states = 6.12 states/eV/f.u.; E_form = -0.28 eV/atom
1.0
8.7880 0.0000 0.0000
4.3940 7.6106 0.0000
4.3940 2.5369 7.1754
Zn Zr Ge
23 6 1
Cartesian
5.9155 3.4153 2.4150
13.1820 5.0531 6.2858
15.3969 8.8894 6.2858
2.1791 1.2581 0.8896
6.5910 3.8053 0.0000
13.1820 7.6106 2.6688
11.6605 6.7322 4.7604
10.9671 8.8894 6.2858
6.5910 1.2684 3.5877
2.1970 1.2684 3.5877
0.0000 0.0000 0.0000
4.3940 5.0738 3.5877
4.3940 2.5369 4.5065
5.9155 6.7322 4.7604
4.3940 5.0944 0.8896
4.3940 0.0000 0.0000
11.6605 3.4153 2.4150
8.7880 8.3906 2.4150
8.7880 5.0738 7.1057
2.1970 3.8053 0.0000
8.7880 1.7569 4.7604
8.7880 5.0738 0.0696
6.6089 1.2581 0.8896
10.6702 6.1604 2.0509
8.7880 7.2471 5.1245
10.6702 3.9871 5.1245
6.9058 3.9871 5.1245
8.7880 2.9004 2.0509
6.9058 6.1604 2.0509
8.7880 5.0738 3.5877